Entry from OQMD via LeMat-Bulk: a relaxed LiErCoTe3 crystal (PBE).

## Properties
Final energy = -4.57 eV per atom

a = 7.441 Å, b = 7.441 Å, c = 11.158 Å
α = 90.00°, β = 90.00°, γ = 31.78°
Last column: magnetic moment on the atom in μB.
Fractional positions:
1 Co 0.476 0.476 0.250  1.60
2 Co 0.524 0.524 0.750  1.60
3 Er 0.000 0.000 0.000  0.04
4 Er 0.000 0.000 0.500  0.04
5 Te 0.915 0.915 0.750  0.08
6 Te 0.645 0.645 0.925  0.07
7 Te 0.085 0.085 0.250  0.08
8 Te 0.645 0.645 0.575  0.06
9 Te 0.355 0.355 0.425  0.06
10 Te 0.355 0.355 0.075  0.07
11 Li 0.828 0.828 0.250  0.00
12 Li 0.172 0.172 0.750  0.00

---

Entry from OQMD via LeMat-Bulk: a relaxed ErLuCo2 crystal (PBE).

## Properties
Formation energy = -100 kJ/mol of formula units

a = 3.864 Å, b = 5.401 Å, c = 7.223 Å
α = 90.00°, β = 90.00°, γ = 90.00°
Last column: magnetic moment on the atom in μB.
Fractional positions:
1 Er 0.500 0.367 0.677  -0.01
2 Er 0.500 0.633 0.177  -0.01
3 Co 0.000 0.651 0.473  0.04
4 Co 0.000 0.349 0.973  0.04
5 Co 0.500 0.857 0.529  0.06
6 Co 0.500 0.143 0.029  0.05
7 Lu 0.000 0.132 0.322  -0.01
8 Lu 0.000 0.868 0.822  -0.01

---

Entry from OQMD via LeMat-Bulk: a relaxed Er2Lu2Co crystal (PBE).

## Properties
Formation energy = -23 kJ/mol of formula units

a = 6.338 Å, b = 6.338 Å, c = 9.645 Å
α = 112.83°, β = 112.83°, γ = 48.39°
Fractional positions:
1 Co 0.892 0.892 0.598
2 Co 0.108 0.108 0.402
3 Lu 0.360 0.360 0.538
4 Lu 0.138 0.138 0.156
5 Lu 0.862 0.862 0.844
6 Lu 0.640 0.640 0.462
7 Er 0.138 0.138 0.698
8 Er 0.582 0.582 0.898
9 Er 0.418 0.418 0.102
10 Er 0.862 0.862 0.302

---

Entry from OQMD via LeMat-Bulk: a relaxed ErLuCo crystal (PBE).

## Properties
Formation energy = 371 kJ/mol of formula units

a = 5.096 Å, b = 5.096 Å, c = 5.905 Å
α = 90.00°, β = 90.00°, γ = 90.00°
Fractional positions:
1 Co 0.000 0.000 0.500
2 Co 0.000 0.000 0.000
3 Lu 0.000 0.500 0.500
4 Lu 0.500 0.000 0.000
5 Er 0.500 0.500 0.250
6 Er 0.500 0.500 0.750

---

Entry from OQMD via LeMat-Bulk: a relaxed ErLuCo crystal (PBE).

## Properties
Formation energy = 235 kJ/mol of formula units

a = 4.600 Å, b = 4.600 Å, c = 4.600 Å
α = 60.00°, β = 60.00°, γ = 60.00°
Fractional positions:
1 Co 0.250 0.250 0.250
2 Er 0.750 0.750 0.750
3 Lu 0.000 0.000 0.000

---

Entry from OQMD via LeMat-Bulk: a relaxed ErLu6Co2Te2 crystal (PBE).

## Properties
Final energy = -5.37 eV per atom

a = 9.154 Å, b = 9.154 Å, c = 9.154 Å
α = 156.20°, β = 66.48°, γ = 118.95°
Fractional positions:
1 Co 0.834 0.071 0.763
2 Co 0.308 0.071 0.237
3 Lu 0.378 0.729 0.649
4 Lu 0.688 0.375 0.314
5 Lu 0.080 0.729 0.351
6 Lu 0.446 0.582 0.864
7 Lu 0.719 0.582 0.136
8 Lu 0.061 0.375 0.686
9 Te 0.340 0.340 0.000
10 Te 0.733 0.233 0.500
11 Er 0.002 0.002 0.000

---

Entry from OQMD via LeMat-Bulk: a relaxed Er3Lu3CoTe2 crystal (PBE).

## Properties
Final energy = -5.19 eV per atom

a = 8.185 Å, b = 8.185 Å, c = 3.881 Å
α = 90.00°, β = 90.00°, γ = 120.00°
Fractional positions:
1 Lu 0.000 0.766 0.000
2 Lu 0.234 0.234 0.000
3 Lu 0.766 0.000 0.000
4 Te 0.333 0.667 0.000
5 Te 0.667 0.333 0.000
6 Er 0.608 0.608 0.500
7 Er 0.392 0.000 0.500
8 Er 0.000 0.392 0.500
9 Co 0.000 0.000 0.500

---

Entry from OQMD via LeMat-Bulk: a relaxed Er3Lu4Co2Te2 crystal (PBE).

## Properties
Final energy = -5.37 eV per atom

a = 9.212 Å, b = 9.212 Å, c = 9.212 Å
α = 156.25°, β = 66.68°, γ = 118.72°
Fractional positions:
1 Te 0.764 0.764 0.000
2 Te 0.163 0.663 0.500
3 Co 0.194 0.929 0.265
4 Co 0.664 0.929 0.735
5 Lu 0.421 0.272 0.149
6 Lu 0.123 0.272 0.851
7 Lu 0.438 0.624 0.814
8 Lu 0.811 0.624 0.186
9 Er 0.054 0.418 0.635
10 Er 0.498 0.998 0.500
11 Er 0.783 0.418 0.365

---

Entry from OQMD via LeMat-Bulk: a relaxed ErTm4Lu2Co2Te2 crystal (PBE).

## Properties
Final energy = -5.35 eV per atom

a = 9.212 Å, b = 9.212 Å, c = 9.212 Å
α = 156.22°, β = 66.55°, γ = 118.87°
Fractional positions:
1 Tm 0.447 0.582 0.864
2 Tm 0.377 0.729 0.649
3 Tm 0.718 0.582 0.136
4 Tm 0.080 0.729 0.351
5 Te 0.734 0.234 0.500
6 Te 0.339 0.339 0.000
7 Lu 0.062 0.376 0.686
8 Lu 0.690 0.376 0.314
9 Er 0.001 0.001 0.000
10 Co 0.834 0.070 0.764
11 Co 0.306 0.070 0.236

---

Entry from OQMD via LeMat-Bulk: a relaxed YEr2Tm2Lu2Co2Te2 crystal (PBE).

## Properties
Final energy = -5.55 eV per atom

a = 9.234 Å, b = 9.234 Å, c = 9.234 Å
α = 156.24°, β = 66.25°, γ = 119.18°
Fractional positions:
1 Lu 0.786 0.099 0.686
2 Lu 0.413 0.099 0.314
3 Tm 0.759 0.894 0.865
4 Tm 0.028 0.894 0.135
5 Co 0.168 0.406 0.762
6 Co 0.644 0.406 0.238
7 Er 0.096 0.746 0.350
8 Er 0.396 0.746 0.650
9 Te 0.742 0.242 0.500
10 Te 0.139 0.139 0.000
11 Y 0.476 0.476 0.000

---

Entry from OQMD via LeMat-Bulk: a relaxed ErMgCo crystal (PBE).

## Properties
Final energy = -3.75 eV per atom

a = 4.528 Å, b = 4.528 Å, c = 4.528 Å
α = 60.00°, β = 60.00°, γ = 60.00°
Fractional positions:
1 Mg 0.000 0.000 0.000
2 Co 0.250 0.250 0.250
3 Er 0.750 0.750 0.750

---

Entry from OQMD via LeMat-Bulk: a relaxed ErMgCo crystal (PBE).

## Properties
Final energy = -3.63 eV per atom

a = 4.578 Å, b = 4.578 Å, c = 4.578 Å
α = 60.00°, β = 60.00°, γ = 60.00°
Fractional positions:
1 Er 0.000 0.000 0.000
2 Co 0.250 0.250 0.250
3 Mg 0.750 0.750 0.750

---

Entry from OQMD via LeMat-Bulk: a relaxed ErTmMgCo2 crystal (PBE).

## Properties
Final energy = -5.18 eV per atom

a = 5.345 Å, b = 5.345 Å, c = 5.345 Å
α = 134.36°, β = 116.81°, γ = 81.37°
Fractional positions:
1 Tm 0.792 0.792 0.000
2 Co 0.801 0.500 0.301
3 Co 0.199 0.500 0.699
4 Mg 0.500 0.000 0.500
5 Er 0.208 0.208 0.000

---

Entry from OQMD via LeMat-Bulk: a relaxed YErMgCo2 crystal (PBE).

## Properties
Final energy = -5.56 eV per atom

a = 5.381 Å, b = 5.381 Å, c = 5.381 Å
α = 134.51°, β = 117.02°, γ = 81.07°
Fractional positions:
1 Co 0.200 0.501 0.699
2 Co 0.801 0.501 0.301
3 Er 0.208 0.208 0.000
4 Y 0.791 0.791 0.000
5 Mg 0.500 0.000 0.500

---

Entry from OQMD via LeMat-Bulk: a relaxed ErCoMo crystal (PBE).

## Properties
Formation energy = 408 kJ/mol of formula units

a = 4.430 Å, b = 4.430 Å, c = 4.430 Å
α = 60.00°, β = 60.00°, γ = 60.00°
Fractional positions:
1 Mo 0.750 0.750 0.750
2 Er 0.000 0.000 0.000
3 Co 0.250 0.250 0.250